First-principles (PBE-GGA) data for a relaxed KBeNb crystal, as listed in the Alexandria database.

The structure in CIF format:
```
data_KBeNb
_chemical_formula_sum 'K4 Be4 Nb4'
_space_group_name_H-M_alt 'P n m a'
_space_group_IT_number 62
_space_group_name_Hall '-P 2ac 2n'
_cell_length_a 8.265
_cell_length_b 2.632
_cell_length_c 11.074
_cell_angle_alpha 90.00
_cell_angle_beta 90.00
_cell_angle_gamma 90.00
loop_
_atom_site_label
_atom_site_fract_x
_atom_site_fract_y
_atom_site_fract_z
K1 0.152 0.250 0.070
Be1 0.177 0.250 0.782
Nb1 0.044 0.250 0.371
```

Calculated formation energy: 0.86 eV/atom
DOS at the Fermi energy: 2.16 states/eV/f.u.
Energy above the most stable polymorph in this dataset: 540.0 meV per atom
Magnetic moment: 0.00 μB/atom
Calculated total energy: -4.1033 eV/atom

***

First-principles (PBE-GGA) data for a relaxed KBeNb3 crystal, as listed in the Alexandria database.

The structure in CIF format:
```
data_KBeNb3
_chemical_formula_sum 'K1 Be1 Nb3'
_space_group_name_H-M_alt 'P m -3 m'
_space_group_IT_number 221
_space_group_name_Hall '-P 4 2 3'
_cell_length_a 4.692
_cell_length_b 4.692
_cell_length_c 4.692
_cell_angle_alpha 90.00
_cell_angle_beta 90.00
_cell_angle_gamma 90.00
loop_
_atom_site_label
_atom_site_fract_x
_atom_site_fract_y
_atom_site_fract_z
K1 0.000 0.000 0.000
Be1 0.500 0.500 0.500
Nb1 0.000 0.500 0.500
```

Calculated formation energy: 1.31 eV/atom
DOS at the Fermi energy: 8.92 states/eV/f.u.
Energy above the most stable polymorph in this dataset: 0.0 meV per atom
Magnetic moment: 0.00 μB/atom
Calculated total energy: -5.7005 eV/atom

***

First-principles (PBE-GGA) data for a relaxed KBe2Nb crystal, as listed in the Alexandria database.

The structure in CIF format:
```
data_KBe2Nb
_chemical_formula_sum 'K4 Be8 Nb4'
_space_group_name_H-M_alt 'F m -3 m'
_space_group_IT_number 225
_space_group_name_Hall '-F 4 2 3'
_cell_length_a 6.603
_cell_length_b 6.603
_cell_length_c 6.603
_cell_angle_alpha 90.00
_cell_angle_beta 90.00
_cell_angle_gamma 90.00
loop_
_atom_site_label
_atom_site_fract_x
_atom_site_fract_y
_atom_site_fract_z
K1 0.000 0.000 0.000
Be1 0.250 0.250 0.250
Nb1 0.000 0.000 0.500
```

Calculated formation energy: 1.36 eV/atom
DOS at the Fermi energy: 3.73 states/eV/f.u.
Energy above the most stable polymorph in this dataset: 0.0 meV per atom
Magnetic moment: 0.19 μB/atom
Calculated total energy: -3.2935 eV/atom